Below is CuBr2Cl after structural relaxation, with properties calculated at the PBE-GGA level.

Calculated values
E_form (uncorrected), kcal/mol of atoms: -0.2
Density of states at the Fermi level, states/eV/cell: 7.41
Calculated volume, Å³ per atom: 27.70

a = 10.944 Å, b = 3.628 Å, c = 5.625 Å
α = 90.00°, β = 97.13°, γ = 90.00°
Space group C2/m (No. 12)
Inequivalent atoms, fractional coordinates:
Cu  0.000  0.000  0.000
Br  0.145  0.500  0.159
Cl  0.000  0.500  0.500